(1)
# Ac2ThAg, optimized geometry, DFT PBE
# * formation energy from the elements: -55 meV/atom
# * energy above the most stable polymorph in this dataset: 0.0 meV per atom
# * VASP energy: -18.71 eV/cell
# * D(E_F): 1.14 states/eV per atom
data_Ac2ThAg
_chemical_formula_sum 'Ac2 Th1 Ag1'
_cell_length_a 3.858
_cell_length_b 3.858
_cell_length_c 9.252
_cell_angle_alpha 90.00
_cell_angle_beta 90.00
_cell_angle_gamma 90.00
_symmetry_space_group_name_H-M 'P 4/m m m'
_symmetry_Int_Tables_number 123
_symmetry_space_group_name_Hall '-P 4 2'
loop_
_atom_site_label
_atom_site_fract_x
_atom_site_fract_y
_atom_site_fract_z
Ac1 0.000 0.000 0.225
Th1 0.500 0.500 0.500
Ag1 0.500 0.500 0.000

=====

(2)
# In5BiCl8, optimized geometry, DFT PBE
# * VASP energy: -88.29 eV/cell
# * D(E_F): 0.00 states/eV per atom
# * energy relative to the elements, uncorrected: -11.8 eV per formula unit
data_In5BiCl8
_chemical_formula_sum 'In10 Bi2 Cl16'
_cell_length_a 9.251
_cell_length_b 9.251
_cell_length_c 9.850
_cell_angle_alpha 90.00
_cell_angle_beta 90.00
_cell_angle_gamma 90.00
_symmetry_space_group_name_H-M 'I -4'
_symmetry_Int_Tables_number 82
loop_
_symmetry_equiv_pos_as_xyz
'x,y,z'
'y,-x,-z'
'-x,-y,z'
'-y,x,-z'
'x+1/2,y+1/2,z+1/2'
'y+1/2,-x+1/2,-z+1/2'
'-x+1/2,-y+1/2,z+1/2'
'-y+1/2,x+1/2,-z+1/2'
loop_
_atom_site_label
_atom_site_fract_x
_atom_site_fract_y
_atom_site_fract_z
In1 0.000 0.000 0.000
In2 0.099 0.271 0.623
Bi1 0.000 0.500 0.250
Cl1 0.061 0.326 0.005
Cl2 0.072 0.214 0.332

=====

(3)
# Ti6Ga16Co7, optimized geometry, DFT PBE
# * formation energy from the elements: -377 meV/atom
# * VASP energy: -625.95 eV/cell
# * D(E_F): 0.93 states/eV per atom
data_Ti6Ga16Co7
_chemical_formula_sum 'Ti24 Ga64 Co28'
_cell_length_a 11.807
_cell_length_b 11.807
_cell_length_c 11.807
_cell_angle_alpha 90.00
_cell_angle_beta 90.00
_cell_angle_gamma 90.00
_symmetry_space_group_name_H-M 'F m -3 m'
_symmetry_Int_Tables_number 225
_symmetry_space_group_name_Hall '-F 4 2 3'
loop_
_atom_site_label
_atom_site_fract_x
_atom_site_fract_y
_atom_site_fract_z
Ti1 0.000 0.000 0.199
Ga1 0.122 0.122 0.378
Ga2 0.153 0.153 0.153
Co1 0.000 0.000 0.500
Co2 0.000 0.250 0.250

=====

(4)
# TmThSn2, optimized geometry, DFT PBE
# * formation energy from the elements: -539 meV/atom
# * energy above the most stable polymorph in this dataset: 41.3 meV per atom
# * VASP energy: -22.05 eV/cell
# * D(E_F): 1.06 states/eV per atom
data_TmThSn2
_chemical_formula_sum 'Tm1 Th1 Sn2'
_cell_length_a 4.945
_cell_length_b 4.945
_cell_length_c 4.468
_cell_angle_alpha 90.00
_cell_angle_beta 90.00
_cell_angle_gamma 90.00
_symmetry_space_group_name_H-M 'P 4/m m m'
_symmetry_Int_Tables_number 123
_symmetry_space_group_name_Hall '-P 4 2'
loop_
_atom_site_label
_atom_site_fract_x
_atom_site_fract_y
_atom_site_fract_z
Tm1 0.000 0.000 0.000
Th1 0.500 0.500 0.000
Sn1 0.000 0.500 0.500

=====

(5)
# AcThPt2, optimized geometry, DFT PBE
# * formation energy from the elements: -1210 meV/atom
# * energy above the most stable polymorph in this dataset: 0.0 meV per atom
# * VASP energy: -85.35 eV/cell
# * D(E_F): 0.36 states/eV per atom
data_AcThPt2
_chemical_formula_sum 'Ac3 Th3 Pt6'
_cell_length_a 4.2773
_cell_length_b 4.2773
_cell_length_c 21.2303
_cell_angle_alpha 90.00
_cell_angle_beta 90.00
_cell_angle_gamma 120.00
_symmetry_space_group_name_H-M 'R -3 m'
_symmetry_Int_Tables_number 166
_symmetry_space_group_name_Hall '-R 3 2"'
loop_
_atom_site_label
_atom_site_fract_x
_atom_site_fract_y
_atom_site_fract_z
Ac1 0.0000 0.0000 0.0000
Th1 0.0000 0.0000 0.5000
Pt1 0.0000 0.0000 0.2430

=====

(6)
# KTb4TmS8, optimized geometry, DFT PBE
# * VASP energy: -252.61 eV/cell
# * D(E_F): 0.00 states/eV per atom
# * energy relative to the elements, uncorrected: -27.1 eV per formula unit
data_KTb4TmS8
_chemical_formula_sum 'K3 Tb12 Tm3 S24'
_cell_length_a 8.2511
_cell_length_b 8.2511
_cell_length_c 20.0038
_cell_angle_alpha 90.00
_cell_angle_beta 90.00
_cell_angle_gamma 120.00
_symmetry_space_group_name_H-M 'R 3 m'
_symmetry_Int_Tables_number 160
_symmetry_space_group_name_Hall 'R 3 -2"'
loop_
_atom_site_label
_atom_site_fract_x
_atom_site_fract_y
_atom_site_fract_z
K1 0.0000 0.0000 0.0000
Tb1 0.0000 0.0000 0.7523
Tb2 0.0122 0.5061 0.8784
Tm1 0.0000 0.0000 0.3725
S1 0.0000 0.0000 0.1428
S2 0.0000 0.0000 0.6195
S3 0.0223 0.5112 0.1285
S4 0.1900 0.3799 0.9564